[1]
A geometry-optimized Mo2PBr structure, computed with PBE-GGA.

The structure belongs to space group P2/m (No. 10); the cell edges are 4.303, 3.034 and 5.271 Å and the angles 90.00°, 113.59° and 90.00°. The distinct sites, in fractional coordinates, are Mo at (0.000, 0.000, 0.000), Mo at (0.500, 0.500, 0.500), P at (0.000, 0.000, 0.500) and Br at (0.500, 0.500, 0.000).

For the uncorrected formation energy, the calculation gives 1.77 eV/f.u. As for the spin magnetization: 0.00 μB per formula unit. As for the distance to the lowest polymorph of the same formula: 400 meV/atom.

***

[2]
A geometry-optimized Na2BiB2Pd5 structure, computed with PBE-GGA.

The structure belongs to space group P4/mbm (No. 127); the cell edges are 10.201, 10.201 and 3.110 Å and the angles 90.00°, 90.00° and 90.00°. The distinct sites, in fractional coordinates, are Na at (0.180, 0.320, 0.000), Bi at (0.000, 0.000, 0.000), B at (0.117, 0.617, 0.000), Pd at (0.000, 0.500, 0.500) and Pd at (0.068, 0.761, 0.500).

As for the spin magnetization: 0.00 μB per formula unit. The energy of formation is -0.24 eV/atom.

***

[3]
A geometry-optimized RbV2CdCl8 structure, computed with PBE-GGA.

The structure belongs to space group P-1 (No. 2); the cell edges are 6.276, 6.445 and 7.737 Å and the angles 89.95°, 89.95° and 84.72°. The distinct sites, in fractional coordinates, are Rb at (0.000, 0.000, 0.000), V at (0.500, 0.500, 0.257), Cd at (0.000, 0.000, 0.500), Cl at (0.280, 0.377, 0.500), Cl at (0.289, 0.832, 0.719), Cl at (0.289, 0.833, 0.281) and Cl at (0.297, 0.389, 0.000).

For the uncorrected formation energy, the calculation gives -14.32 eV/f.u. As for the spin magnetization: 5.00 μB per formula unit.

***

[4]
A geometry-optimized TmCu6Ni4 structure, computed with PBE-GGA.

The structure belongs to space group I-42m (No. 121); the cell edges are 5.985, 5.985 and 8.816 Å and the angles 90.00°, 90.00° and 90.00°. The distinct sites, in fractional coordinates, are Tm at (0.000, 0.000, 0.000), Cu at (0.000, 0.500, 0.000), Cu at (0.152, 0.152, 0.595) and Ni at (0.225, 0.225, 0.325).

As for the spin magnetization: 0.00 μB per formula unit. The energy of formation is 0.21 eV/atom.